KAl4Se after structural relaxation, computed with PBE-GGA.

Values from the calculation:
DOS(E_F)   4.0 states/eV/f.u.
Total DFT energy (no corrections)   -18.243 eV/cell

```
KAl4Se
1.0
-2.806 1.867 4.688
-5.624 -1.140 0.643
-1.741 -3.767 4.014
K Al Se
1 4 1
Direct
0.750 0.750 0.750 K
0.377 0.870 0.377 Al
0.377 0.377 0.377 Al
0.870 0.377 0.377 Al
0.377 0.377 0.870 Al
0.000 0.000 0.000 Se
```

TlIn8Ag4 after structural relaxation, computed with PBE-GGA.

Values from the calculation:
DOS(E_F)   5.4 states/eV/f.u.
Formation energy from the elements   0.18 eV/f.u.

```
TlIn8Ag4
1.0
-0.980 -0.855 5.695
6.467 1.301 4.304
-2.388 6.599 3.576
Ag In Tl
4 8 1
Direct
0.000 0.500 0.000 Ag
0.500 0.000 0.500 Ag
0.500 0.500 0.000 Ag
0.000 0.000 0.500 Ag
0.500 0.786 0.214 In
0.714 0.786 0.786 In
0.000 0.653 0.347 In
0.000 0.347 0.653 In
0.500 0.214 0.786 In
0.286 0.214 0.214 In
0.347 0.653 0.653 In
0.653 0.347 0.347 In
0.000 0.000 0.000 Tl
```